[1]
Here is an optimized crystal structure of LaY2Al from Alexandria. Energies are from GGA-PBE. Values from VASP.

Computed properties:
calculated formation energy: -0.23 eV per formula unit
symmetry: F-43m
crystal system: cubic
total magnetic moment: 1.0 μB per cell

```
&SYSTEM
  ibrav = 0, nat = 4, ntyp = 3
/
ATOMIC_SPECIES
Al 26.98 Al.upf
La 138.91 La.upf
Y 88.91 Y.upf
CELL_PARAMETERS angstrom
5.464 0.000 0.000
2.732 4.732 0.000
2.732 1.577 4.462
ATOMIC_POSITIONS angstrom
Al 5.464 3.155 2.231
La 8.197 4.732 3.346
Y 2.732 1.577 1.115
Y 0.000 0.000 0.000
```

[2]
Here is an optimized crystal structure of LaYAl3 from Alexandria. Energies are from GGA-PBE. Values from VASP.

Computed properties:
calculated formation energy: -2.20 eV per formula unit
symmetry: Cmcm
offset from the most stable computed form: 0.0 meV/atom
crystal system: orthorhombic
total magnetic moment: 0.0 μB per cell

```
&SYSTEM
  ibrav = 0, nat = 10, ntyp = 3
/
ATOMIC_SPECIES
Al 26.98 Al.upf
La 138.91 La.upf
Y 88.91 Y.upf
CELL_PARAMETERS angstrom
4.399 0.000 0.000
0.000 4.295 0.000
0.000 -2.148 13.416
ATOMIC_POSITIONS angstrom
Al 1.100 0.000 12.761
Al 1.100 2.148 4.723
Al 1.100 0.000 10.157
Al 3.299 2.148 0.655
Al 3.299 2.148 3.259
Al 3.299 0.000 8.693
La 3.299 2.148 11.423
La 1.100 0.000 1.993
Y 1.100 2.148 7.890
Y 3.299 0.000 5.527
```

[3]
Here is an optimized crystal structure of LaYAl from Alexandria. Energies are from GGA-PBE. Values from VASP.

Computed properties:
calculated formation energy: -0.06 eV per formula unit
symmetry: R3m
offset from the most stable computed form: 220.7 meV/atom
crystal system: trigonal
total magnetic moment: 0.0 μB per cell

```
&SYSTEM
  ibrav = 0, nat = 3, ntyp = 3
/
ATOMIC_SPECIES
La 138.91 La.upf
Y 88.91 Y.upf
Al 26.98 Al.upf
CELL_PARAMETERS angstrom
7.665 -2.380 1.634
-5.851 5.495 -1.634
-1.799 -1.038 2.947
ATOMIC_POSITIONS angstrom
La 5.398 -1.060 1.570
Y 1.699 -0.990 1.544
Al -0.777 0.453 2.746
```

[4]
Here is an optimized crystal structure of La12Y3Al5 from Alexandria. Energies are from GGA-PBE. Values from VASP.

Computed properties:
calculated formation energy: 10.52 eV per formula unit
symmetry: Ia-3d
crystal system: cubic
total magnetic moment: 7.3 μB per cell

```
&SYSTEM
  ibrav = 0, nat = 80, ntyp = 3
/
ATOMIC_SPECIES
La 138.91 La.upf
Y 88.91 Y.upf
Al 26.98 Al.upf
CELL_PARAMETERS angstrom
-0.608 11.128 11.688
7.386 -13.244 5.555
8.227 5.869 -12.597
ATOMIC_POSITIONS angstrom
La 6.094 8.117 1.500
La 11.504 7.351 1.952
La 4.591 7.237 9.697
La 2.785 6.098 1.087
La 7.339 -1.036 1.500
La 12.219 -2.346 3.559
La 9.957 -0.290 -7.558
La 5.620 -5.912 5.006
La 12.783 -0.154 -1.435
La 10.414 -3.484 -5.051
La 5.270 -3.382 8.127
La 8.508 -1.045 11.122
La 5.334 6.286 -1.856
La 1.723 7.539 4.759
La 9.690 -4.963 -1.519
La 9.385 9.665 -0.361
La 6.713 -2.783 14.288
La 9.628 2.712 -4.885
La 9.735 7.135 -3.481
La 8.911 -4.364 3.146
La 13.282 -3.786 -0.114
La 6.032 4.953 6.887
La 5.377 1.041 9.531
La 11.280 4.584 -0.972
La 5.067 12.705 3.175
La 7.525 0.558 5.052
La 6.497 4.798 -6.476
La 5.048 4.043 12.204
La 0.801 6.662 8.443
La 10.048 2.525 8.586
La 2.964 0.092 -0.624
La 2.222 3.906 6.081
La 7.480 3.195 -0.406
La 10.429 1.113 2.512
La 7.666 4.788 3.146
La 4.957 1.228 -3.940
La 5.314 8.716 6.165
La 7.416 14.209 0.262
La 9.937 -8.953 1.470
La 4.576 2.640 2.134
La 3.725 -0.831 5.618
La 9.671 -2.533 6.502
La 3.500 -3.599 2.694
La 8.292 6.536 -9.642
La 14.203 -2.909 -3.797
La 12.041 3.660 5.270
La 7.589 -10.456 4.384
La 8.973 -1.201 -2.241
Y 11.148 0.425 5.753
Y 4.551 5.845 3.970
Y 2.448 9.548 7.772
Y 10.453 -2.092 0.676
Y 11.663 -0.360 -4.629
Y 12.557 -5.796 -3.126
Y 3.856 3.327 -1.108
Y 8.560 6.390 -0.060
Y 3.342 4.113 9.275
Y 6.445 -2.637 4.706
Y 8.969 3.215 -8.173
Y 6.036 0.538 12.819
Al 4.113 2.934 -6.299
Al -0.304 5.564 5.844
Al 7.806 -3.687 -3.521
Al 7.502 1.876 2.323
Al 4.750 -2.108 0.395
Al 0.000 0.000 0.000
Al 6.456 10.094 3.743
Al 8.140 -3.166 9.016
Al 3.809 8.498 -0.454
Al 7.245 2.269 7.514
Al 3.693 -6.622 2.777
Al 7.759 1.484 -2.868
Al 8.549 -6.341 0.903
Al 6.865 6.919 -4.370
Al 2.647 1.596 4.197
Al 10.254 5.861 4.251
Al 3.389 -1.058 8.622
Al 7.339 -8.073 6.208
Al 12.358 2.157 0.449
Al 7.665 11.825 -1.562
```

Repeat the second record exactly.
Here is an optimized crystal structure of LaYAl3 from Alexandria. Energies are from GGA-PBE. Values from VASP.

Computed properties:
calculated formation energy: -2.20 eV per formula unit
symmetry: Cmcm
offset from the most stable computed form: 0.0 meV/atom
crystal system: orthorhombic
total magnetic moment: 0.0 μB per cell

```
&SYSTEM
  ibrav = 0, nat = 10, ntyp = 3
/
ATOMIC_SPECIES
Al 26.98 Al.upf
La 138.91 La.upf
Y 88.91 Y.upf
CELL_PARAMETERS angstrom
4.399 0.000 0.000
0.000 4.295 0.000
0.000 -2.148 13.416
ATOMIC_POSITIONS angstrom
Al 1.100 0.000 12.761
Al 1.100 2.148 4.723
Al 1.100 0.000 10.157
Al 3.299 2.148 0.655
Al 3.299 2.148 3.259
Al 3.299 0.000 8.693
La 3.299 2.148 11.423
La 1.100 0.000 1.993
Y 1.100 2.148 7.890
Y 3.299 0.000 5.527
```